Computed, not measured: a relaxed HfZrMnO6 crystal at the PBE+U level of DFT.

Structure (POSCAR):
```
HfZrMnO6
1.0
5.140 0.000 0.000
-2.570 4.451 0.000
0.000 0.000 4.641
Hf Zr Mn O
1 1 1 6
direct
0.000 0.000 0.000 Hf
0.333 0.667 0.500 Zr
0.667 0.333 0.000 Mn
0.353 0.018 0.767 O
0.353 0.335 0.233 O
0.665 0.018 0.233 O
0.665 0.647 0.767 O
0.982 0.335 0.767 O
0.982 0.647 0.233 O
```

Output
DFT total energy in eV per atom: -8.843
DOS at the Fermi energy in states/eV/cell: 0.0
V in Å³/atom: 11.8